1.
# meta-GGA SCAN BaCa2Co, single point on PBEsol structure
# - energy (eV/cell) = -223.31
# - Fermi-level density of states (states/eV per atom) = 0.91
# - size of the total moment (Bohr magnetons per cell) = 2.69
# - ΔH_f (0 K) (eV/atom) = 0.436
# - energy above the most stable polymorph in this dataset (meV/atom) = 152.5
data_BaCa2Co
_chemical_formula_sum 'Ba3 Ca6 Co3'
_symmetry_space_group_name_H-M 'R 3 m'
_symmetry_Int_Tables_number 160
_symmetry_space_group_name_Hall 'R 3 -2"'
_cell_length_a 3.9634
_cell_length_b 3.9634
_cell_length_c 30.6349
_cell_angle_alpha 90.00
_cell_angle_beta 90.00
_cell_angle_gamma 120.00
loop_
_atom_site_label
_atom_site_fract_x
_atom_site_fract_y
_atom_site_fract_z
Ba1 0.0000 0.0000 0.0000
Ca1 0.0000 0.0000 0.2174
Ca2 0.0000 0.0000 0.4446
Co1 0.0000 0.0000 0.7253

2.
# meta-GGA SCAN BaCaCo4, single point on PBEsol structure
# - energy (eV/cell) = -460.76
# - Fermi-level density of states (states/eV per atom) = 1.64
# - size of the total moment (Bohr magnetons per cell) = 20.80
# - ΔH_f (0 K) (eV/atom) = 0.540
data_BaCaCo4
_chemical_formula_sum 'Ba4 Ca4 Co16'
_symmetry_space_group_name_H-M 'F -4 3 m'
_symmetry_Int_Tables_number 216
_symmetry_space_group_name_Hall 'F -4 2 3'
_cell_length_a 7.2806
_cell_length_b 7.2806
_cell_length_c 7.2806
_cell_angle_alpha 90.00
_cell_angle_beta 90.00
_cell_angle_gamma 90.00
loop_
_atom_site_label
_atom_site_fract_x
_atom_site_fract_y
_atom_site_fract_z
Ba1 0.0000 0.0000 0.0000
Ca1 0.2500 0.2500 0.7500
Co1 0.1237 0.1237 0.3763

3.
# meta-GGA SCAN Ba2CaCo, single point on PBEsol structure
# - energy (eV/cell) = -209.08
# - Fermi-level density of states (states/eV per atom) = 1.28
# - size of the total moment (Bohr magnetons per cell) = 1.57
# - ΔH_f (0 K) (eV/atom) = 0.382
data_Ba2CaCo
_chemical_formula_sum 'Ba4 Ca2 Co2'
_symmetry_space_group_name_H-M 'I m m 2'
_symmetry_Int_Tables_number 44
_symmetry_space_group_name_Hall 'I 2 -2'
_cell_length_a 3.7855
_cell_length_b 6.0575
_cell_length_c 12.3427
_cell_angle_alpha 90.00
_cell_angle_beta 90.00
_cell_angle_gamma 90.00
loop_
_atom_site_label
_atom_site_fract_x
_atom_site_fract_y
_atom_site_fract_z
Ba1 0.0000 0.0000 0.0000
Ba2 0.0000 0.5000 0.1742
Ca1 0.0000 0.5000 0.8329
Co1 0.0000 0.0000 0.4973

4.
# meta-GGA SCAN BaCa2Co, single point on PBEsol structure
# - energy (eV/cell) = -149.56
# - Fermi-level density of states (states/eV per atom) = 0.71
# - size of the total moment (Bohr magnetons per cell) = 1.85
# - ΔH_f (0 K) (eV/atom) = 0.350
# - energy above the most stable polymorph in this dataset (meV/atom) = 66.4
data_BaCa2Co
_chemical_formula_sum 'Ba2 Ca4 Co2'
_symmetry_space_group_name_H-M 'C 1 m 1'
_symmetry_Int_Tables_number 8
_symmetry_space_group_name_Hall 'C -2y'
_cell_length_a 12.2808
_cell_length_b 3.8397
_cell_length_c 6.7040
_cell_angle_alpha 90.00
_cell_angle_beta 123.07
_cell_angle_gamma 90.00
loop_
_atom_site_label
_atom_site_fract_x
_atom_site_fract_y
_atom_site_fract_z
Ba1 0.0000 0.0000 0.0000
Ca1 0.1730 0.0000 0.6528
Ca2 0.3521 0.0000 0.3599
Co1 0.1886 0.5000 0.3797

5.
# meta-GGA SCAN BaCa2Co, single point on PBEsol structure
# - energy (eV/cell) = -75.05
# - Fermi-level density of states (states/eV per atom) = 1.04
# - size of the total moment (Bohr magnetons per cell) = 0.97
# - ΔH_f (0 K) (eV/atom) = 0.284
# - energy above the most stable polymorph in this dataset (meV/atom) = 0.0
data_BaCa2Co
_chemical_formula_sum 'Ba1 Ca2 Co1'
_symmetry_space_group_name_H-M 'P 4 m m'
_symmetry_Int_Tables_number 99
_symmetry_space_group_name_Hall 'P 4 -2'
_cell_length_a 3.6456
_cell_length_b 3.6456
_cell_length_c 9.6167
_cell_angle_alpha 90.00
_cell_angle_beta 90.00
_cell_angle_gamma 90.00
loop_
_atom_site_label
_atom_site_fract_x
_atom_site_fract_y
_atom_site_fract_z
Ba1 0.0000 0.0000 0.0000
Ca1 0.0000 0.0000 0.6501
Ca2 0.5000 0.5000 0.3500
Co1 0.5000 0.5000 0.8048

6.
# meta-GGA SCAN BaCa2Cr, single point on PBEsol structure
# - energy (eV/cell) = -151.99
# - Fermi-level density of states (states/eV per atom) = 0.81
# - size of the total moment (Bohr magnetons per cell) = 11.59
# - ΔH_f (0 K) (eV/atom) = 0.317
# - energy above the most stable polymorph in this dataset (meV/atom) = 74.3
data_BaCa2Cr
_chemical_formula_sum 'Ba2 Ca4 Cr2'
_symmetry_space_group_name_H-M 'I -4 m 2'
_symmetry_Int_Tables_number 119
_symmetry_space_group_name_Hall 'I -4 -2'
_cell_length_a 5.8484
_cell_length_b 5.8484
_cell_length_c 8.2231
_cell_angle_alpha 90.00
_cell_angle_beta 90.00
_cell_angle_gamma 90.00
loop_
_atom_site_label
_atom_site_fract_x
_atom_site_fract_y
_atom_site_fract_z
Ba1 0.0000 0.0000 0.0000
Ca1 0.0000 0.0000 0.5000
Ca2 0.0000 0.5000 0.2500
Cr1 0.0000 0.5000 0.7500

7.
# meta-GGA SCAN BaCa2Cr, single point on PBEsol structure
# - energy (eV/cell) = -76.29
# - Fermi-level density of states (states/eV per atom) = 0.77
# - size of the total moment (Bohr magnetons per cell) = 5.18
# - ΔH_f (0 K) (eV/atom) = 0.243
# - energy above the most stable polymorph in this dataset (meV/atom) = 0.0
data_BaCa2Cr
_chemical_formula_sum 'Ba1 Ca2 Cr1'
_symmetry_space_group_name_H-M 'P 4 m m'
_symmetry_Int_Tables_number 99
_symmetry_space_group_name_Hall 'P 4 -2'
_cell_length_a 3.9714
_cell_length_b 3.9714
_cell_length_c 9.3676
_cell_angle_alpha 90.00
_cell_angle_beta 90.00
_cell_angle_gamma 90.00
loop_
_atom_site_label
_atom_site_fract_x
_atom_site_fract_y
_atom_site_fract_z
Ba1 0.0000 0.0000 0.0000
Ca1 0.0000 0.0000 0.5993
Ca2 0.5000 0.5000 0.3283
Cr1 0.5000 0.5000 0.7684

8.
# meta-GGA SCAN BaCa2Cr, single point on PBEsol structure
# - energy (eV/cell) = -75.86
# - Fermi-level density of states (states/eV per atom) = 1.16
# - size of the total moment (Bohr magnetons per cell) = 5.41
# - ΔH_f (0 K) (eV/atom) = 0.351
# - energy above the most stable polymorph in this dataset (meV/atom) = 108.3
data_BaCa2Cr
_chemical_formula_sum 'Ba1 Ca2 Cr1'
_symmetry_space_group_name_H-M 'P m m m'
_symmetry_Int_Tables_number 47
_symmetry_space_group_name_Hall '-P 2 2'
_cell_length_a 5.0310
_cell_length_b 5.0520
_cell_length_c 5.6808
_cell_angle_alpha 90.00
_cell_angle_beta 90.00
_cell_angle_gamma 90.00
loop_
_atom_site_label
_atom_site_fract_x
_atom_site_fract_y
_atom_site_fract_z
Ba1 0.0000 0.0000 0.0000
Ca1 0.0000 0.5000 0.5000
Ca2 0.5000 0.0000 0.5000
Cr1 0.5000 0.5000 0.0000

no.,calculated density (g/cm3)
1,3.30
2,7.11
3,4.38
4,3.47
5,3.59
6,3.18
7,3.03
8,3.10